Entry 1:
Nb6Pb10O25 | PBE-GGA | relaxed

Calculated values
SG = P1 (1)
Density = 7616 kg/m³

Cell: 7.7029 7.7187 11.1101 Å, 89.20 89.72 89.73°
Last column: nearest neighbours and their distance in Å.
Element x y z (fractional)
Nb: 0.0000 0.0000 0.0000  5 O 1.92-2.07
Nb: 0.9997 0.4896 0.5001  4 O 1.89-2.09
Nb: 0.2537 0.2288 0.2526  4 O 1.89-2.07
Nb: 0.4894 0.9922 0.9957  6 O 1.95-2.14
Nb: 0.5007 0.4925 0.4991  5 O 1.88-2.10
Nb: 0.7495 0.7416 0.7505  4 O 1.89-2.09
Pb: 0.0068 0.4770 0.0026  3 O 2.38-2.46
Pb: 0.2482 0.2590 0.7564  3 O 2.32-2.38
Pb: 0.2475 0.7261 0.2377  6 O 2.20-2.25
Pb: 0.2510 0.7675 0.7631  2 O 2.26-2.36
Pb: 0.4913 0.4644 0.0021  3 O 2.40-2.49
Pb: 0.5204 0.0008 0.4901  2 O 2.33-2.39
Pb: 0.7480 0.2216 0.7512  6 O 2.44-2.61
Pb: 0.7507 0.7274 0.2635  3 O 2.46-2.56
Pb: 0.7707 0.2517 0.2699  2 O 2.42-2.47
Pb: 0.9832 0.9936 0.4924  2 O 2.34-2.42
O: 0.0163 0.2077 0.8880  1 Nb 2.02
O: 0.0312 0.6768 0.3640  1 Nb 2.09, 1 Pb 2.20
O: 0.0345 0.7914 0.1068  1 Nb 2.00
O: 0.0448 0.1590 0.1273  1 Nb 1.92
O: 0.0561 0.3059 0.3507  1 Nb 1.96
O: 0.2455 0.4657 0.1486  1 Nb 2.15, 1 Pb 2.25
O: 0.2451 0.9464 0.9333  2 Nb 2.04-2.07
O: 0.2473 0.9917 0.3080  1 Nb 1.92
O: 0.2482 0.4952 0.5347  2 Nb 1.95-1.98
O: 0.2496 0.5168 0.8714  4 Pb 2.26-2.40
O: 0.4284 0.1592 0.1190  2 Nb 1.95-2.07
O: 0.4362 0.3029 0.3525  1 Nb 1.89
O: 0.4605 0.7929 0.1067  1 Nb 1.97
O: 0.4635 0.6729 0.3617  1 Nb 2.07, 1 Pb 2.20
O: 0.4804 0.2070 0.8844  1 Nb 2.06
O: 0.5405 0.2765 0.5850  1 Nb 1.93
O: 0.5553 0.6472 0.6218  1 Nb 1.88
O: 0.5546 0.8398 0.8423  2 Nb 1.97-2.14
O: 0.7435 0.5189 0.8243  1 Nb 1.89
O: 0.7449 0.0094 0.0180  2 Nb 1.98-1.99
O: 0.7479 0.9416 0.6223  1 Nb 2.09, 1 Pb 2.33
O: 0.7490 0.4828 0.4214  2 Nb 2.10-2.13
O: 0.9349 0.8371 0.8445  1 Nb 1.93
O: 0.9364 0.6443 0.6232  1 Nb 1.89
O: 0.9576 0.2751 0.5847  1 Nb 1.92



Entry 2:
Nb2PbO | PBE-GGA | relaxed

Calculated values
SG = Fm-3m (225)
Density = 9879 kg/m³
Distance to the lowest polymorph of the same formula = 536 meV/atom

Cell: 4.5983 4.5983 4.5983 Å, 60.00 60.00 60.00°
Last column: nearest neighbours and their distance in Å.
Element x y z (fractional)
Nb: 0.2500 0.2500 0.2500  4 O 2.82, 4 Pb 2.82
Nb: 0.7500 0.7500 0.7500  4 O 2.82, 4 Pb 2.82
Pb: 0.0000 0.0000 0.0000  8 Nb 2.82
O: 0.5000 0.5000 0.5000  8 Nb 2.82



Entry 3:
Nb5Pb3O12 | PBE-GGA | relaxed

Calculated values
SG = Ia-3d (230)
Density = 6421 kg/m³

Cell: 11.9755 11.9755 11.9755 Å, 109.47 109.47 109.47°
Last column: nearest neighbours and their distance in Å.
Element x y z (fractional)
Nb: 0.0000 0.0000 0.0000  6 O 2.12
Nb: 0.0000 0.0000 0.5000  6 O 2.12
Nb: 0.0000 0.5000 0.0000  6 O 2.12
Nb: 0.0000 0.5000 0.5000  6 O 2.12
Nb: 0.1250 0.7500 0.8750  4 O 1.92
Nb: 0.1250 0.8750 0.2500  4 O 1.92
Nb: 0.2500 0.1250 0.8750  4 O 1.92
Nb: 0.2500 0.6250 0.3750  4 O 1.92
Nb: 0.3750 0.2500 0.6250  4 O 1.92
Nb: 0.3750 0.6250 0.7500  4 O 1.92
Nb: 0.5000 0.0000 0.0000  6 O 2.12
Nb: 0.5000 0.0000 0.5000  6 O 2.12
Nb: 0.5000 0.5000 0.0000  6 O 2.12
Nb: 0.5000 0.5000 0.5000  6 O 2.12
Nb: 0.6250 0.3750 0.2500  4 O 1.92
Nb: 0.6250 0.7500 0.3750  4 O 1.92
Nb: 0.7500 0.3750 0.6250  4 O 1.92
Nb: 0.7500 0.8750 0.1250  4 O 1.92
Nb: 0.8750 0.1250 0.7500  4 O 1.92
Nb: 0.8750 0.2500 0.1250  4 O 1.92
Pb: 0.1250 0.2500 0.3750  4 O 2.66
Pb: 0.1250 0.3750 0.7500  4 O 2.66
Pb: 0.2500 0.3750 0.1250  4 O 2.66
Pb: 0.2500 0.8750 0.6250  4 O 2.66
Pb: 0.3750 0.1250 0.2500  4 O 2.66
Pb: 0.3750 0.7500 0.1250  4 O 2.66
Pb: 0.6250 0.2500 0.8750  4 O 2.66
Pb: 0.6250 0.8750 0.7500  4 O 2.66
Pb: 0.7500 0.1250 0.3750  4 O 2.66
Pb: 0.7500 0.6250 0.8750  4 O 2.66
Pb: 0.8750 0.6250 0.2500  4 O 2.66
Pb: 0.8750 0.7500 0.6250  4 O 2.66
O: 0.0095 0.6824 0.1213  2 Nb 1.92-2.12
O: 0.0095 0.8272 0.8882  2 Nb 1.92-2.12
O: 0.0611 0.6728 0.6824  2 Nb 1.92-2.12
O: 0.0611 0.8882 0.3787  2 Nb 1.92-2.12
O: 0.1118 0.6213 0.9389  2 Nb 1.92-2.12
O: 0.1118 0.9905 0.1728  2 Nb 1.92-2.12
O: 0.1213 0.0095 0.6824  2 Nb 1.92-2.12
O: 0.1213 0.6118 0.4389  2 Nb 1.92-2.12
O: 0.1728 0.1118 0.9905  2 Nb 1.92-2.12
O: 0.1728 0.5611 0.1824  2 Nb 1.92-2.12
O: 0.1824 0.1728 0.5611  2 Nb 1.92-2.12
O: 0.1824 0.5095 0.6213  2 Nb 1.92-2.12
O: 0.3176 0.8787 0.9905  2 Nb 1.92-2.12
O: 0.3176 0.9389 0.3272  2 Nb 1.92-2.12
O: 0.3272 0.3176 0.9389  2 Nb 1.92-2.12
O: 0.3272 0.5095 0.3882  2 Nb 1.92-2.12
O: 0.3787 0.0611 0.8882  2 Nb 1.92-2.12
O: 0.3787 0.8176 0.4905  2 Nb 1.92-2.12
O: 0.3882 0.3272 0.5095  2 Nb 1.92-2.12
O: 0.3882 0.5611 0.8787  2 Nb 1.92-2.12
O: 0.4389 0.1213 0.6118  2 Nb 1.92-2.12
O: 0.4389 0.8176 0.8272  2 Nb 1.92-2.12
O: 0.4905 0.3787 0.8176  2 Nb 1.92-2.12
O: 0.4905 0.6118 0.6728  2 Nb 1.92-2.12
O: 0.5095 0.3882 0.3272  2 Nb 1.92-2.12
O: 0.5095 0.6213 0.1824  2 Nb 1.92-2.12
O: 0.5611 0.1824 0.1728  2 Nb 1.92-2.12
O: 0.5611 0.8787 0.3882  2 Nb 1.92-2.12
O: 0.6118 0.4389 0.1213  2 Nb 1.92-2.12
O: 0.6118 0.6728 0.4905  2 Nb 1.92-2.12
O: 0.6213 0.1824 0.5095  2 Nb 1.92-2.12
O: 0.6213 0.9389 0.1118  2 Nb 1.92-2.12
O: 0.6728 0.4905 0.6118  2 Nb 1.92-2.12
O: 0.6728 0.6824 0.0611  2 Nb 1.92-2.12
O: 0.6824 0.0611 0.6728  2 Nb 1.92-2.12
O: 0.6824 0.1213 0.0095  2 Nb 1.92-2.12
O: 0.8176 0.4905 0.3787  2 Nb 1.92-2.12
O: 0.8176 0.8272 0.4389  2 Nb 1.92-2.12
O: 0.8272 0.4389 0.8176  2 Nb 1.92-2.12
O: 0.8272 0.8882 0.0095  2 Nb 1.92-2.12
O: 0.8787 0.3882 0.5611  2 Nb 1.92-2.12
O: 0.8787 0.9905 0.3176  2 Nb 1.92-2.12
O: 0.8882 0.0095 0.8272  2 Nb 1.92-2.12
O: 0.8882 0.3787 0.0611  2 Nb 1.92-2.12
O: 0.9389 0.1118 0.6213  2 Nb 1.92-2.12
O: 0.9389 0.3272 0.3176  2 Nb 1.92-2.12
O: 0.9905 0.1728 0.1118  2 Nb 1.92-2.12
O: 0.9905 0.3176 0.8787  2 Nb 1.92-2.12



Entry 4:
Nb2PbO | PBE-GGA | relaxed

Calculated values
SG = I-42d (122)
Density = 7988 kg/m³
Distance to the lowest polymorph of the same formula = 0 meV/atom

Cell: 7.0618 7.0618 7.0618 Å, 135.59 135.59 64.62°
Last column: nearest neighbours and their distance in Å.
Element x y z (fractional)
Nb: 0.3750 0.2139 0.3389  2 O 2.06
Nb: 0.7861 0.1250 0.1611  2 O 2.06
Nb: 0.8750 0.0361 0.6611  2 O 2.06
Nb: 0.9639 0.6250 0.8389  2 O 2.06
Pb: 0.2500 0.7500 0.5000  4 Nb 2.97
Pb: 0.5000 0.5000 0.0000  4 Nb 2.97
O: 0.0000 0.0000 0.0000  4 Nb 2.06
O: 0.7500 0.2500 0.5000  4 Nb 2.06



Entry 5:
Nb4Pb3O13 | PBE-GGA | relaxed

Calculated values
SG = Pmma (51)
Density = 6463 kg/m³
Distance to the lowest polymorph of the same formula = 0 meV/atom

Cell: 7.5939 7.5773 10.7272 Å, 90.00 90.00 90.00°
Last column: nearest neighbours and their distance in Å.
Element x y z (fractional)
Nb: 0.0000 0.0000 0.0000  6 O 2.01-2.02
Nb: 0.0000 0.5000 0.5000  6 O 2.00-2.02
Nb: 0.2500 0.2485 0.2528  6 O 1.95-2.06
Nb: 0.2500 0.7515 0.2528  6 O 1.95-2.06
Nb: 0.5000 0.0000 0.0000  6 O 2.01-2.02
Nb: 0.5000 0.5000 0.5000  6 O 2.00-2.02
Nb: 0.7500 0.2485 0.7472  6 O 1.95-2.06
Nb: 0.7500 0.7515 0.7472  6 O 1.95-2.06
Pb: 0.0000 0.5000 0.0000  8 O 2.51-2.73
Pb: 0.2500 0.2499 0.7367  1 O 2.23
Pb: 0.2500 0.7501 0.7367  1 O 2.23
Pb: 0.5000 0.5000 0.0000  8 O 2.51-2.73
Pb: 0.7500 0.2499 0.2633  1 O 2.23
Pb: 0.7500 0.7501 0.2633  1 O 2.23
O: 0.0572 0.1911 0.1249  2 Nb 2.02-2.05
O: 0.0572 0.8089 0.1249  2 Nb 2.02-2.05
O: 0.0612 0.3169 0.3726  2 Nb 1.99-2.00
O: 0.0612 0.6831 0.3726  2 Nb 1.99-2.00
O: 0.2500 0.0000 0.3004  2 Nb 1.95
O: 0.2500 0.0000 0.9376  2 Nb 2.01
O: 0.2500 0.5000 0.1786  2 Nb 2.06
O: 0.2500 0.5000 0.5654  2 Nb 2.02
O: 0.2500 0.5000 0.8467  2 Pb 2.23
O: 0.4388 0.3169 0.3726  2 Nb 1.99-2.00
O: 0.4388 0.6831 0.3726  2 Nb 1.99-2.00
O: 0.4428 0.1911 0.1249  2 Nb 2.02-2.05
O: 0.4428 0.8089 0.1249  2 Nb 2.02-2.05
O: 0.5572 0.1911 0.8751  2 Nb 2.02-2.05
O: 0.5572 0.8089 0.8751  2 Nb 2.02-2.05
O: 0.5612 0.3169 0.6274  2 Nb 1.99-2.00
O: 0.5612 0.6831 0.6274  2 Nb 1.99-2.00
O: 0.7500 0.0000 0.0624  2 Nb 2.01
O: 0.7500 0.0000 0.6996  2 Nb 1.95
O: 0.7500 0.5000 0.1533  2 Pb 2.23
O: 0.7500 0.5000 0.4346  2 Nb 2.02
O: 0.7500 0.5000 0.8214  2 Nb 2.06
O: 0.9388 0.3169 0.6274  2 Nb 1.99-2.00
O: 0.9388 0.6831 0.6274  2 Nb 1.99-2.00
O: 0.9428 0.1911 0.8751  2 Nb 2.02-2.05
O: 0.9428 0.8089 0.8751  2 Nb 2.02-2.05



Entry 6:
NbPbO3 | PBE-GGA | relaxed

Calculated values
SG = C2/m (12)
Density = 7020 kg/m³

Cell: 7.3509 7.3509 7.5160 Å, 109.00 109.00 25.48°
Last column: nearest neighbours and their distance in Å.
Element x y z (fractional)
Nb: 0.1576 0.1576 0.3267  2 O 1.86-1.92
Nb: 0.8424 0.8424 0.6733  2 O 1.86-1.92
Pb: 0.3807 0.3807 0.1736  6 O 2.47-2.75
Pb: 0.6193 0.6193 0.8264  6 O 2.47-2.75
O: 0.0206 0.0206 0.2603  1 Nb 1.86
O: 0.1783 0.1783 0.0873  1 Nb 1.92
O: 0.3181 0.3181 0.4602  3 Nb 2.18-2.22
O: 0.6819 0.6819 0.5398  3 Nb 2.18-2.22
O: 0.8217 0.8217 0.9127  1 Nb 1.92
O: 0.9794 0.9794 0.7397  1 Nb 1.86



Entry 7:
Nb3PbO | PBE-GGA | relaxed

Calculated values
SG = Pm-3m (221)
Density = 10060 kg/m³
Distance to the lowest polymorph of the same formula = 0 meV/atom

Cell: 4.3594 4.3594 4.3594 Å, 90.00 90.00 90.00°
Last column: nearest neighbours and their distance in Å.
Element x y z (fractional)
Nb: 0.0000 0.0000 0.5000  2 O 2.18
Nb: 0.0000 0.5000 0.0000  2 O 2.18
Nb: 0.5000 0.0000 0.0000  2 O 2.18
Pb: 0.5000 0.5000 0.5000  12 Nb 3.08
O: 0.0000 0.0000 0.0000  6 Nb 2.18



Entry 8:
NbPbO3 | PBE-GGA | relaxed

Calculated values
SG = C2/m (12)
Density = 6902 kg/m³

Cell: 7.6954 7.6954 7.4245 Å, 90.59 90.59 22.40°
Last column: nearest neighbours and their distance in Å.
Element x y z (fractional)
Nb: 0.0846 0.0846 0.2753  1 O 1.80
Nb: 0.9154 0.9154 0.7247  1 O 1.80
Pb: 0.3346 0.3346 0.2444  2 O 2.35-2.43
Pb: 0.6654 0.6654 0.7556  2 O 2.35-2.43
O: 0.1493 0.1493 0.0732  1 Nb 1.80
O: 0.3560 0.3560 0.5695  2 Nb 2.08
O: 0.4901 0.4901 0.2454  2 Nb 2.08
O: 0.5099 0.5099 0.7546  2 Nb 2.08
O: 0.6440 0.6440 0.4305  2 Nb 2.08
O: 0.8507 0.8507 0.9268  1 Nb 1.80



For reference, ΔE_f (raw) by record: -1.841 0.308 -1.800 -0.227 -2.198 -1.735 -0.525 -1.843 eV per atom.